w:
VASP calculation (PBE) on crystalline ZnP2HCl at its relaxed geometry.

Structure (POSCAR):
```
ZnP2HCl
1.0
4.6777 0.0000 0.0000
0.0000 4.6777 0.0000
0.0000 0.0000 5.1883
P Zn H Cl
2 1 1 1
direct
0.0000 0.5000 0.0000 P
0.5000 0.0000 0.0000 P
0.0000 0.0000 0.0000 Zn
0.5000 0.5000 0.5000 H
0.0000 0.0000 0.5000 Cl
```

## Properties
Symmetry: P4/mmm (123)

=====

x:
VASP calculation (PBE) on crystalline ZnP2HCl at its relaxed geometry.

Structure (POSCAR):
```
ZnP2HCl
1.0
-1.1804 2.6785 -2.0306
-3.2739 -0.4290 1.3373
1.4297 4.3387 4.8920
P Zn H Cl
2 1 1 1
direct
0.0000 0.5000 0.0000 P
0.5000 0.0000 0.0000 P
0.5000 0.5000 0.5000 Zn
0.0000 0.0000 0.0000 H
0.0000 0.0000 0.5000 Cl
```

## Properties
Symmetry: P4/mmm (123)

=====

Of them, w has the lowest stability.